K3Rb2RuO6 after structural relaxation, computed with PBE.

Summary:
Mass density = 3.62 g/cm³
Volume = 18.54 Å³ per atom
Total magnetization = 1.047 Bohr magnetons per cell
Raw formation energy = -1.21 eV per atom

Structure (extended XYZ):
```
12
Lattice="3.315 -5.745 0.000 3.315 5.745 0.000 -2.304 0.000 5.843" Properties=species:S:1:pos:R:3 pbc="T T T"
K 0.000 0.000 0.000
K 3.315 1.785 0.000
K 3.315 -1.785 0.000
Rb 2.162 3.809 2.921
Rb 2.162 -3.809 2.921
Ru 2.162 0.000 2.921
O 1.397 1.373 1.765
O 0.557 0.000 3.999
O 1.397 -1.373 1.765
O 2.928 1.373 4.077
O 3.768 0.000 1.843
O 2.928 -1.373 4.077
```


MgVIrPt after structural relaxation, computed with PBE.

Summary:
Mass density = 12.84 g/cm³
Energy of formation from the pure elements = -1.70 eV/f.u.
Volume = 14.96 Å³ per atom
Total magnetization = 1.507 Bohr magnetons per cell

Structure (extended XYZ):
```
4
Lattice="0.000 3.104 3.104 3.104 0.000 3.104 3.104 3.104 0.000" Properties=species:S:1:pos:R:3 pbc="T T T"
Mg 0.000 0.000 0.000
V 3.104 3.104 3.104
Ir 1.552 1.552 1.552
Pt 4.656 4.656 4.656
```


P2WSe after structural relaxation, computed with PBE.

Summary:
Mass density = 8.83 g/cm³
Volume = 15.26 Å³ per atom
Total magnetization = 0.000 Bohr magnetons per cell
Raw formation energy = 0.71 eV per atom

Structure (extended XYZ):
```
4
Lattice="2.732 -3.633 0.000 2.732 3.633 0.000 0.000 0.000 3.076" Properties=species:S:1:pos:R:3 pbc="T T T"
P 1.366 1.817 0.000
P 1.366 -1.817 0.000
W 0.000 0.000 1.538
Se 2.732 0.000 1.538
```


CaAgAs2 after structural relaxation, computed with PBE.

Summary:
Mass density = 5.79 g/cm³
Energy of formation from the pure elements = -1.03 eV/f.u.
Volume = 21.35 Å³ per atom
Total magnetization = 0.000 Bohr magnetons per cell

Structure (extended XYZ):
```
4
Lattice="0.000 3.495 3.495 3.495 0.000 3.495 3.495 3.495 0.000" Properties=species:S:1:pos:R:3 pbc="T T T"
Ca 0.000 0.000 0.000
Ag 3.495 3.495 3.495
As 1.748 1.748 1.748
As 5.243 5.243 5.243
```


InReSi4 after structural relaxation, computed with PBE.

Summary:
Mass density = 7.37 g/cm³
Volume = 15.52 Å³ per atom
Total magnetization = 0.000 Bohr magnetons per cell
Raw formation energy = 0.71 eV per atom

Structure (extended XYZ):
```
6
Lattice="0.000 3.598 3.598 3.598 0.000 3.598 3.598 3.598 0.000" Properties=species:S:1:pos:R:3 pbc="T T T"
In 0.000 0.000 0.000
Re 5.397 5.397 5.397
Si 2.709 2.709 2.709
Si 4.486 4.486 2.709
Si 4.486 2.709 4.486
Si 2.709 4.486 4.486
```


Nd8C3Cl3F after structural relaxation, computed with PBE.

Summary:
Mass density = 6.32 g/cm³
Volume = 23.06 Å³ per atom
Total magnetization = 0.000 Bohr magnetons per cell
Raw formation energy = -1.09 eV per atom

Structure (extended XYZ):
```
15
Lattice="6.604 -3.806 0.000 6.604 3.806 0.000 -4.406 0.000 6.880" Properties=species:S:1:pos:R:3 pbc="T T T"
Nd 3.235 2.013 4.840
Nd 0.000 0.000 4.805
Nd 2.072 0.000 2.038
Nd 5.568 2.013 2.040
Nd 3.235 -2.013 4.840
Nd 6.731 0.000 4.841
Nd 8.803 0.000 2.075
Nd 5.568 -2.013 2.040
C -2.203 0.000 3.440
C 1.099 1.903 3.440
C 1.099 -1.903 3.440
Cl 3.302 1.903 0.000
Cl 3.302 -1.903 0.000
Cl 6.604 0.000 0.000
F 4.401 0.000 3.440
```


K2PaAg2Se4 after structural relaxation, computed with PBE.

Summary:
Mass density = 5.59 g/cm³
Volume = 27.74 Å³ per atom
Total magnetization = 1.000 Bohr magnetons per cell
Raw formation energy = -1.00 eV per atom

Structure (extended XYZ):
```
9
Lattice="7.768 -2.132 0.000 7.768 2.132 0.000 -2.792 0.000 7.535" Properties=species:S:1:pos:R:3 pbc="T T T"
K 1.904 0.000 0.555
K 10.841 0.000 6.980
Pa -1.396 0.000 3.767
Ag 3.518 0.000 3.881
Ag 9.227 0.000 3.654
Se 1.065 0.000 5.284
Se 5.554 0.000 5.584
Se 7.191 0.000 1.950
Se 11.680 0.000 2.251
```


LiSc2UP4 after structural relaxation, computed with PBE.

Summary:
Mass density = 4.88 g/cm³
Energy of formation from the pure elements = -8.44 eV/f.u.
Volume = 19.51 Å³ per atom
Total magnetization = 0.814 Bohr magnetons per cell

Structure (extended XYZ):
```
8
Lattice="-2.674 2.674 5.459 2.674 -2.674 5.459 2.674 2.674 -5.459" Properties=species:S:1:pos:R:3 pbc="T T T"
Li 0.000 0.000 0.000
Sc 2.674 0.000 2.729
Sc 0.000 2.674 2.729
U 0.000 0.000 5.459
P 2.674 0.000 0.000
P 0.000 0.000 2.819
P 0.000 2.674 0.000
P 0.000 0.000 8.099
```


Na2Bi3Pd5 after structural relaxation, computed with PBE.

Summary:
Mass density = 9.74 g/cm³
Energy of formation from the pure elements = -2.66 eV/f.u.
Volume = 20.55 Å³ per atom
Total magnetization = 0.000 Bohr magnetons per cell

Structure (extended XYZ):
```
20
Lattice="5.162 -6.635 0.000 5.162 6.635 0.000 -0.673 0.000 6.000" Properties=species:S:1:pos:R:3 pbc="T T T"
Na 3.292 3.522 5.457
Na 6.023 3.522 3.543
Na 3.629 -3.522 2.457
Na 6.359 -3.522 0.543
Bi 1.172 1.834 3.516
Bi 1.508 -1.834 0.516
Bi 4.657 0.637 4.500
Bi 4.994 -0.637 1.500
Bi 8.143 1.834 5.483
Bi 8.480 -1.834 2.483
Pd 4.657 6.304 4.500
Pd 2.033 0.577 5.876
Pd 3.714 1.995 2.125
Pd 2.370 -0.577 2.876
Pd 6.274 1.995 0.875
Pd 3.377 -1.995 5.125
Pd 7.282 0.577 3.124
Pd 5.937 -1.995 3.875
Pd 7.618 -0.577 0.124
Pd 4.994 -6.304 1.500
```


ZnF after structural relaxation, computed with PBE.

Summary:
Mass density = 4.11 g/cm³
Volume = 17.07 Å³ per atom
Total magnetization = 0.000 Bohr magnetons per cell
Raw formation energy = -1.15 eV per atom

Structure (extended XYZ):
```
8
Lattice="5.967 0.000 0.000 0.000 5.967 0.000 0.000 0.000 3.835" Properties=species:S:1:pos:R:3 pbc="T T T"
Zn 1.195 1.195 0.000
Zn 1.788 4.179 1.917
Zn 4.179 1.788 1.917
Zn 4.772 4.772 0.000
F 1.027 4.940 0.000
F 1.956 1.956 1.917
F 4.011 4.011 1.917
F 4.940 1.027 0.000
```


Li7Mg2Ag after structural relaxation, computed with PBE.

Summary:
Mass density = 1.74 g/cm³
Energy of formation from the pure elements = 0.19 eV/f.u.
Volume = 19.61 Å³ per atom
Total magnetization = 0.000 Bohr magnetons per cell

Structure (extended XYZ):
```
10
Lattice="4.702 0.000 0.000 -2.351 4.072 0.000 0.000 0.000 10.242" Properties=species:S:1:pos:R:3 pbc="T T T"
Li 0.000 0.000 0.000
Li 0.000 0.000 2.377
Li 0.000 0.000 4.882
Li 0.000 2.715 2.134
Li 0.000 2.715 9.206
Li 2.351 1.357 3.843
Li 2.351 1.357 7.112
Mg 0.000 0.000 7.550
Mg 0.000 2.715 5.704
Ag 2.351 1.357 0.893
```


KHg2Ru after structural relaxation, computed with PBE.

Summary:
Mass density = 8.65 g/cm³
Energy of formation from the pure elements = 2.27 eV/f.u.
Volume = 25.99 Å³ per atom
Total magnetization = 1.441 Bohr magnetons per cell

Structure (extended XYZ):
```
4
Lattice="-1.560 2.921 5.703 1.560 -2.921 5.703 1.560 2.921 -5.703" Properties=species:S:1:pos:R:3 pbc="T T T"
K 0.000 0.000 0.000
Hg 1.560 0.000 3.423
Hg 0.000 2.921 2.280
Ru 0.000 0.000 5.703
```


Which of these has the lowest volume?
MgVIrPt


Which of these has the lowest volume?
MgVIrPt


Which value of mass density does entry 4 give?
5.79 g/cm³